P.
A relaxed structure of NiOs2Rh2, computed with PBE-GGA.

```
NiOs2Rh2
1.0
7.433 0.000 0.000
0.000 7.433 0.000
0.000 0.000 2.736
Rh Os Ni
4 4 2
direct
0.173 0.673 0.500 Rh
0.673 0.827 0.500 Rh
0.827 0.327 0.500 Rh
0.327 0.173 0.500 Rh
0.378 0.878 0.000 Os
0.878 0.622 0.000 Os
0.622 0.122 0.000 Os
0.122 0.378 0.000 Os
0.000 0.000 0.000 Ni
0.500 0.500 0.000 Ni
```

***

Q.
A relaxed structure of NiOs2Rh2, computed with PBE-GGA.

```
NiOs2Rh2
1.0
-2.102 2.979 0.144
-2.362 -1.770 2.145
0.727 2.460 5.934
Rh Os Ni
2 2 1
direct
0.750 0.250 0.500 Rh
0.250 0.750 0.500 Rh
0.403 0.403 0.195 Os
0.597 0.597 0.805 Os
0.000 0.000 0.000 Ni
```

***

Relative to the most stable one, in meV per atom, the structures come out at P 0; Q 195.

***

P.
A relaxed structure of NiOsRh4, computed with PBE-GGA.

```
NiOsRh4
1.0
7.268 0.000 0.000
0.000 5.199 -0.177
0.000 -2.263 4.657
Ni Os Rh
2 2 8
direct
0.500 0.500 0.000 Ni
0.000 0.000 0.000 Ni
0.000 0.500 0.500 Os
0.500 0.000 0.500 Os
0.193 0.743 0.248 Rh
0.307 0.243 0.248 Rh
0.807 0.743 0.248 Rh
0.307 0.757 0.752 Rh
0.693 0.243 0.248 Rh
0.193 0.257 0.752 Rh
0.693 0.757 0.752 Rh
0.807 0.257 0.752 Rh
```

***

Q.
A relaxed structure of NiOsRh4, computed with PBE-GGA.

```
NiOsRh4
1.0
-1.265 -2.248 0.805
1.735 0.234 3.380
-6.104 4.447 2.826
Ni Os Rh
1 1 4
direct
0.000 0.500 0.000 Ni
0.500 0.000 0.500 Os
0.000 0.500 0.334 Rh
0.500 0.000 0.162 Rh
0.000 0.500 0.666 Rh
0.500 0.000 0.838 Rh
```

***

Relative to the most stable one, in meV per atom, the structures come out at P 182; Q 0.

***

P.
A relaxed structure of Ni4OsRh, computed with PBE-GGA.

```
Ni4OsRh
1.0
-0.657 1.030 4.499
-4.321 0.557 1.657
-1.821 -3.183 2.878
Ni Os Rh
4 1 1
direct
0.875 0.375 0.375 Ni
0.375 0.375 0.875 Ni
0.375 0.875 0.375 Ni
0.375 0.375 0.375 Ni
0.750 0.750 0.750 Os
0.000 0.000 0.000 Rh
```

***

Q.
A relaxed structure of Ni4OsRh, computed with PBE-GGA.

```
Ni4OsRh
1.0
-1.480 2.629 1.985
-4.960 -5.399 3.451
0.584 -5.934 5.008
Ni Os Rh
8 2 2
direct
0.161 0.677 0.822 Ni
0.339 0.823 0.178 Ni
0.839 0.323 0.178 Ni
0.661 0.177 0.822 Ni
0.580 0.589 0.660 Ni
0.920 0.911 0.340 Ni
0.420 0.411 0.340 Ni
0.080 0.089 0.660 Ni
0.000 0.500 0.500 Os
0.500 0.000 0.500 Os
0.250 0.250 0.000 Rh
0.750 0.750 0.000 Rh
```

***

Relative to the most stable one, in meV per atom, the structures come out at P 82; Q 0.

***

P.
A relaxed structure of NiOs2Rh6, computed with PBE-GGA.

```
NiOs2Rh6
1.0
4.586 0.000 0.000
2.293 4.737 -1.095
2.293 0.660 5.779
Ni Os Rh
1 2 6
direct
0.000 0.500 0.500 Ni
0.339 0.594 0.728 Os
0.661 0.406 0.272 Os
0.675 0.722 0.928 Rh
0.325 0.278 0.072 Rh
0.997 0.839 0.167 Rh
0.337 0.925 0.400 Rh
0.003 0.161 0.833 Rh
0.663 0.075 0.600 Rh
```

***

Q.
A relaxed structure of NiOs2Rh6, computed with PBE-GGA.

```
NiOs2Rh6
1.0
-3.252 0.003 1.998
-0.975 -5.582 2.067
1.313 1.259 5.780
Ni Os Rh
1 2 6
direct
0.000 0.500 0.500 Ni
0.328 0.500 0.843 Os
0.672 0.500 0.157 Os
0.996 0.176 0.832 Rh
0.328 0.176 0.168 Rh
0.672 0.824 0.832 Rh
0.339 0.823 0.500 Rh
0.661 0.177 0.500 Rh
0.004 0.824 0.168 Rh
```

***

Relative to the most stable one, in meV per atom, the structures come out at P 287; Q 0.